# Cs3CrF

Crystalline Cs3CrF at its relaxed geometry (GGA+U, Alexandria).

Cell lengths 6.155, 6.155, 6.155 Å; angles 90.00, 90.00, 90.00 degrees
Space group Pm-3m (No. 221)
Symmetry-distinct sites (fractional):
Cs  0.000  0.000  0.500 (multiplicity 3)
Cr  0.500  0.500  0.500 (multiplicity 1)
F  0.000  0.000  0.000 (multiplicity 1)

- Total energy: -15.58 eV/f.u.